An optimized crystal structure of CsNaPr2I8, computed with PBE-GGA.

Unit cell a=8.2747 b=8.2747 c=9.6361 alpha=90.00 beta=90.00 gamma=120.00
With the nearest neighbours (Å) after each atom.
Positions (direct):
Cs  0.0000  0.0000  0.0000  12 I 4.36-4.86, 2 Na 4.82
Na  0.0000  0.0000  0.5000  6 I 3.20
Pr  0.3333  0.6667  0.4074  7 I 3.06-3.35
Pr  0.6667  0.3333  0.5926  7 I 3.06-3.35
I  0.0650  0.3700  0.6554  1 Na 3.20, 2 Pr 3.21-3.35
I  0.3050  0.9350  0.6554  1 Na 3.20, 2 Pr 3.21-3.35
I  0.3333  0.6667  0.0900  1 Pr 3.06
I  0.3700  0.3050  0.3446  1 Na 3.20, 2 Pr 3.21-3.35
I  0.6300  0.6950  0.6554  1 Na 3.20, 2 Pr 3.21-3.35
I  0.6667  0.3333  0.9100  1 Pr 3.06
I  0.6950  0.0650  0.3446  1 Na 3.20, 2 Pr 3.21-3.35
I  0.9350  0.6300  0.3446  1 Na 3.20, 2 Pr 3.21-3.35

## Properties
DOS(E_F): 0.00 states/eV/f.u.
formation energy (no corrections): -1.3818 eV/atom